[1]
VASP calculation (PBE-GGA) on crystalline Li2MnMo at its relaxed geometry.

Structure (extended XYZ):
```
4
Lattice="1.333 0.770 9.702 -1.333 0.770 9.702 0.000 -1.540 9.702" Properties=species:S:1:pos:R:3 pbc="T T T"
Li 0.000 0.000 7.221
Li 0.000 0.000 21.885
Mn 0.000 0.000 14.553
Mo 0.000 0.000 0.000
```

SG: R-3m, No. 166

[2]
VASP calculation (PBE-GGA) on crystalline LiMnMo at its relaxed geometry.

Structure (extended XYZ):
```
3
Lattice="0.000 2.159 6.779 1.487 0.000 6.779 1.487 2.159 0.000" Properties=species:S:1:pos:R:3 pbc="T T T"
Li 0.000 0.000 0.000
Mn 1.487 2.159 9.039
Mo 1.487 2.159 4.309
```

SG: Fmm2, No. 42

[3]
VASP calculation (PBE-GGA) on crystalline Li2MnMo at its relaxed geometry.

Structure (extended XYZ):
```
4
Lattice="3.392 0.000 0.000 0.000 3.392 0.000 0.000 0.000 4.645" Properties=species:S:1:pos:R:3 pbc="T T T"
Li 0.000 1.696 0.000
Li 1.696 0.000 0.000
Mn 0.000 0.000 2.322
Mo 1.696 1.696 2.322
```

SG: P4/mmm, No. 123

[4]
VASP calculation (PBE-GGA) on crystalline LiMn2Mo at its relaxed geometry.

Structure (extended XYZ):
```
4
Lattice="2.481 0.000 0.000 0.000 3.987 0.000 0.000 0.000 5.022" Properties=species:S:1:pos:R:3 pbc="T T T"
Li 0.000 0.000 0.000
Mn 1.240 1.993 1.055
Mn 1.240 1.993 3.967
Mo 0.000 0.000 2.511
```

SG: Pmmm, No. 47

[5]
VASP calculation (PBE-GGA) on crystalline LiMn2Mo2 at its relaxed geometry.

Structure (extended XYZ):
```
5
Lattice="-2.050 2.050 4.746 2.050 -2.050 4.746 2.050 2.050 -4.746" Properties=species:S:1:pos:R:3 pbc="T T T"
Li 0.000 0.000 0.000
Mn 0.000 0.000 3.626
Mn 0.000 0.000 5.866
Mo 2.050 0.000 2.373
Mo 0.000 2.050 2.373
```

SG: I4/mmm, No. 139

[6]
VASP calculation (PBE-GGA) on crystalline Li2MnMo at its relaxed geometry.

Structure (extended XYZ):
```
4
Lattice="2.441 0.000 0.000 0.000 4.599 0.000 0.000 0.000 4.806" Properties=species:S:1:pos:R:3 pbc="T T T"
Li 0.000 0.000 1.158
Li 0.000 0.000 3.648
Mn 1.220 2.300 0.000
Mo 1.220 2.300 2.403
```

SG: Pmmm, No. 47

[7]
VASP calculation (PBE-GGA) on crystalline Li2MnMo at its relaxed geometry.

Structure (extended XYZ):
```
8
Lattice="-3.483 3.483 2.388 3.483 -3.483 2.388 3.483 3.483 -2.388" Properties=species:S:1:pos:R:3 pbc="T T T"
Li 5.224 1.639 -0.597
Li 1.639 1.741 0.597
Li -1.741 1.843 1.791
Li 1.843 1.741 2.984
Mn 0.000 0.000 0.000
Mn 0.000 3.483 1.194
Mo 3.483 0.000 1.194
Mo 0.000 0.000 2.388
```

SG: I-42d, No. 122

[8]
VASP calculation (PBE-GGA) on crystalline LiMnMo at its relaxed geometry.

Structure (extended XYZ):
```
3
Lattice="-1.305 1.305 6.595 1.305 -1.305 6.595 1.305 1.305 -6.595" Properties=species:S:1:pos:R:3 pbc="T T T"
Li 0.000 0.000 0.000
Mn 0.000 0.000 4.394
Mo 0.000 0.000 8.959
```

SG: I4mm, No. 107

[9]
VASP calculation (PBE-GGA) on crystalline LiMnMo at its relaxed geometry.

Structure (extended XYZ):
```
3
Lattice="4.216 0.000 0.000 -2.108 3.651 0.000 0.000 0.000 2.508" Properties=species:S:1:pos:R:3 pbc="T T T"
Li 0.000 0.000 0.000
Mn 0.000 2.434 0.819
Mo 2.108 1.217 1.526
```

SG: P3m1, No. 156

[10]
VASP calculation (PBE-GGA) on crystalline LiMn2Mo at its relaxed geometry.

Structure (extended XYZ):
```
4
Lattice="2.680 0.000 0.000 0.000 2.680 0.000 0.000 0.000 7.082" Properties=species:S:1:pos:R:3 pbc="T T T"
Li 0.000 0.000 0.000
Mn 0.000 0.000 2.996
Mn 1.340 1.340 1.755
Mo 1.340 1.340 5.021
```

SG: P4mm, No. 99

[11]
VASP calculation (PBE-GGA) on crystalline Li2MnMo at its relaxed geometry.

Structure (extended XYZ):
```
4
Lattice="-1.423 2.052 4.825 1.423 -2.052 4.825 1.423 2.052 -4.825" Properties=species:S:1:pos:R:3 pbc="T T T"
Li 0.000 0.000 2.323
Li 0.000 0.000 7.326
Mn 1.423 0.000 0.000
Mo 0.000 2.052 0.000
```

SG: Immm, No. 71

[12]
VASP calculation (PBE-GGA) on crystalline Li2MnMo at its relaxed geometry.

Structure (extended XYZ):
```
4
Lattice="2.451 0.000 0.000 0.000 2.451 0.000 0.000 0.000 9.183" Properties=species:S:1:pos:R:3 pbc="T T T"
Li 0.000 0.000 2.162
Li 0.000 0.000 7.020
Mn 1.225 1.225 0.000
Mo 1.225 1.225 4.591
```

SG: P4/mmm, No. 123

| no. | relative energy among the computed polymorphs (kcal/mol of atoms) |
| --- | --- |
| 1 | 3.88 |
| 2 | 0.96 |
| 3 | 2.60 |
| 4 | 4.23 |
| 5 | 4.72 |
| 6 | 3.48 |
| 7 | 12.53 |
| 8 | 2.46 |
| 9 | 0.00 |
| 10 | 1.97 |
| 11 | 1.85 |
| 12 | 5.59 |